VASP calculation (PBE-GGA) on a geometry-optimized Sr2InAu structure.

Unit cell a=3.836 b=3.860 c=8.393 alpha=90.00 beta=90.10 gamma=90.00
Fractional coordinates of all 4 atoms:
1 Sr 0.000 0.000 0.229
2 Sr 0.000 0.000 0.771
3 In 0.500 0.500 0.500
4 Au 0.500 0.500 0.000

## Properties
E_tot   -2.912 eV/atom
N(E_F)   0.607 states/eV/atom